# 1
Sr3LiTb3Te8: optimized geometry, PBE.

Unit cell a=9.1726 b=9.1726 c=9.1726 alpha=58.57 beta=58.57 gamma=58.57
Fractional coordinates of all 15 atoms:
Sr 0.0000 0.5000 0.5000
Sr 0.5000 0.0000 0.5000
Sr 0.5000 0.5000 0.0000
Li 0.5000 0.5000 0.5000
Tb 0.0000 0.0000 0.5000
Tb 0.0000 0.5000 0.0000
Tb 0.5000 0.0000 0.0000
Te 0.2385 0.7440 0.7440
Te 0.2438 0.2438 0.2438
Te 0.2560 0.2560 0.7615
Te 0.2560 0.7615 0.2560
Te 0.7440 0.2385 0.7440
Te 0.7440 0.7440 0.2385
Te 0.7562 0.7562 0.7562
Te 0.7615 0.2560 0.2560

**Calculated volume**: 35.2 Å³/atom
**Formation energy from raw total energies**: -1.437 eV/atom

# 2
TbPaSe3: optimized geometry, PBE.

Unit cell a=9.2093 b=9.2093 c=6.9313 alpha=98.18 beta=98.18 gamma=79.91
Fractional coordinates of all 20 atoms:
Tb 0.1607 0.3306 0.3208
Tb 0.3306 0.1607 0.8208
Tb 0.6694 0.8393 0.1792
Tb 0.8393 0.6694 0.6792
Pa 0.2410 0.7590 0.2500
Pa 0.4211 0.5789 0.7500
Pa 0.5789 0.4211 0.2500
Pa 0.7590 0.2410 0.7500
Se 0.0433 0.1968 0.9514
Se 0.1287 0.6274 0.5382
Se 0.1968 0.0433 0.4514
Se 0.2833 0.4615 0.0332
Se 0.3726 0.8713 0.9618
Se 0.4615 0.2833 0.5332
Se 0.5385 0.7167 0.4668
Se 0.6274 0.1287 0.0382
Se 0.7167 0.5385 0.9668
Se 0.8032 0.9567 0.5486
Se 0.8713 0.3726 0.4618
Se 0.9567 0.8032 0.0486

**Calculated volume**: 28.4 Å³/atom
**Energy above the lowest structure with this stoichiometry**: 0.040 eV/atom
**Formation energy from raw total energies**: -1.461 eV/atom

# 3
PuTl2PbS4: optimized geometry, PBE.

Unit cell a=7.2724 b=4.1484 c=7.7337 alpha=90.00 beta=107.94 gamma=90.00
Fractional coordinates of all 8 atoms:
Pu 0.0000 0.0000 0.0000
Tl 0.0000 0.5000 0.5000
Tl 0.5000 0.0000 0.5000
Pb 0.5000 0.5000 0.0000
S 0.2112 0.5000 0.1988
S 0.2340 0.0000 0.7929
S 0.7660 0.0000 0.2071
S 0.7888 0.5000 0.8012

**Calculated volume**: 27.7 Å³/atom
**Formation energy from raw total energies**: -0.815 eV/atom

# 4
Rb3Na8Pb2: optimized geometry, PBE.

Unit cell a=14.2507 b=14.2507 c=14.2507 alpha=29.03 beta=29.03 gamma=29.03
Fractional coordinates of all 13 atoms:
Rb 0.0000 0.0000 0.0000
Rb 0.2464 0.2464 0.2464
Rb 0.7536 0.7536 0.7536
Na 0.1969 0.7051 0.7051
Na 0.2949 0.2949 0.8031
Na 0.2949 0.8031 0.2949
Na 0.3325 0.3325 0.3325
Na 0.6675 0.6675 0.6675
Na 0.7051 0.1969 0.7051
Na 0.7051 0.7051 0.1969
Na 0.8031 0.2949 0.2949
Pb 0.4056 0.4056 0.4056
Pb 0.5944 0.5944 0.5944

**Calculated volume**: 46.4 Å³/atom
**ΔE_f**: 0.762 eV per formula unit

# 5
Tb12TmSc7: optimized geometry, PBE.

Unit cell a=9.5087 b=9.5087 c=9.5087 alpha=109.47 beta=109.47 gamma=109.47
Fractional coordinates of all 20 atoms:
Tb 0.0009 0.7427 0.2582
Tb 0.2573 0.2582 0.5155
Tb 0.2573 0.7418 0.9991
Tb 0.2582 0.0009 0.7427
Tb 0.2582 0.5155 0.2573
Tb 0.4845 0.7427 0.7418
Tb 0.5155 0.2573 0.2582
Tb 0.7418 0.4845 0.7427
Tb 0.7418 0.9991 0.2573
Tb 0.7427 0.2582 0.0009
Tb 0.7427 0.7418 0.4845
Tb 0.9991 0.2573 0.7418
Tm 0.0000 0.0000 0.0000
Sc 0.0000 0.0000 0.5000
Sc 0.0000 0.5000 0.0000
Sc 0.0000 0.5000 0.5000
Sc 0.5000 0.0000 0.0000
Sc 0.5000 0.0000 0.5000
Sc 0.5000 0.5000 0.0000
Sc 0.5000 0.5000 0.5000

**Calculated volume**: 33.1 Å³/atom
**Energy above the lowest structure with this stoichiometry**: 0.513 eV/atom
**ΔE_f**: 13.605 eV per formula unit

# 6
AcCuH2: optimized geometry, PBE.

Unit cell a=4.3801 b=4.3801 c=4.3801 alpha=60.00 beta=60.00 gamma=60.00
Fractional coordinates of all 4 atoms:
Ac 0.0000 0.0000 0.0000
Cu 0.5000 0.5000 0.5000
H 0.2500 0.2500 0.2500
H 0.7500 0.7500 0.7500

**VASP energy**: -3.94 eV per atom
**Calculated volume**: 14.9 Å³/atom

# 7
Na4Pu3SbSe8: optimized geometry, PBE.

Unit cell a=8.4763 b=8.4763 c=8.4763 alpha=59.64 beta=59.64 gamma=59.64
Fractional coordinates of all 16 atoms:
Na 0.0000 0.0000 0.0000
Na 0.0000 0.5000 0.5000
Na 0.5000 0.0000 0.5000
Na 0.5000 0.5000 0.0000
Pu 0.0000 0.0000 0.5000
Pu 0.0000 0.5000 0.0000
Pu 0.5000 0.0000 0.0000
Sb 0.5000 0.5000 0.5000
Se 0.2429 0.2429 0.2429
Se 0.2447 0.7430 0.7430
Se 0.2570 0.2570 0.7553
Se 0.2570 0.7553 0.2570
Se 0.7430 0.2447 0.7430
Se 0.7430 0.7430 0.2447
Se 0.7553 0.2570 0.2570
Se 0.7571 0.7571 0.7571

**Calculated volume**: 26.7 Å³/atom
**Formation energy from raw total energies**: -1.210 eV/atom

# 8
CaZrSc: optimized geometry, PBE.

Unit cell a=5.1622 b=5.1622 c=5.1622 alpha=60.00 beta=60.00 gamma=60.00
Fractional coordinates of all 3 atoms:
Ca 0.0000 0.0000 0.0000
Zr 0.5000 0.5000 0.5000
Sc 0.2500 0.2500 0.2500

**Calculated volume**: 32.4 Å³/atom
**Energy above the lowest structure with this stoichiometry**: 0.899 eV/atom
**ΔE_f**: 3.146 eV per formula unit

# 9
Mn4MoPb: optimized geometry, PBE.

Unit cell a=4.8952 b=4.8952 c=4.8952 alpha=60.00 beta=60.00 gamma=60.00
Fractional coordinates of all 6 atoms:
Mn 0.1250 0.1250 0.1250
Mn 0.1250 0.1250 0.6251
Mn 0.1250 0.6251 0.1250
Mn 0.6251 0.1250 0.1250
Mo 0.7500 0.7500 0.7500
Pb 0.5000 0.5000 0.5000

**Calculated volume**: 13.8 Å³/atom
**ΔE_f**: 1.990 eV per formula unit

# 10
BeIrPb2: optimized geometry, PBE.

Unit cell a=4.8664 b=4.8664 c=4.8664 alpha=60.00 beta=60.00 gamma=60.00
Fractional coordinates of all 4 atoms:
Be 0.0000 0.0000 0.0000
Ir 0.2500 0.2500 0.2500
Pb 0.5000 0.5000 0.5000
Pb 0.7500 0.7500 0.7500

**Calculated volume**: 20.4 Å³/atom
**ΔE_f**: 3.064 eV per formula unit

# 11
Cs3BaAu: optimized geometry, PBE.

Unit cell a=7.2138 b=7.2138 c=7.2138 alpha=90.00 beta=90.00 gamma=90.00
Fractional coordinates of all 5 atoms:
Cs 0.0000 0.0000 0.5000
Cs 0.0000 0.5000 0.0000
Cs 0.5000 0.0000 0.0000
Ba 0.5000 0.5000 0.5000
Au 0.0000 0.0000 0.0000

**Calculated volume**: 75.1 Å³/atom
**ΔE_f**: 0.053 eV per formula unit

# 12
Mg2NiW: optimized geometry, PBE.

Unit cell a=4.8403 b=4.8403 c=2.7662 alpha=90.00 beta=90.00 gamma=90.00
Fractional coordinates of all 4 atoms:
Mg 0.0000 0.5000 0.0000
Mg 0.5000 0.0000 0.0000
Ni 0.0000 0.0000 0.5000
W 0.5000 0.5000 0.5000

**Calculated volume**: 16.2 Å³/atom
**Energy above the lowest structure with this stoichiometry**: 0.428 eV/atom
**ΔE_f**: 2.147 eV per formula unit